No. 1
A relaxed Pr2TlGe2Rh5 crystal, computed with PBE.

## Properties
**Formation energy from the elements**: -0.64 eV/atom
**E_tot**: -128.673 eV per cell
**Space-group type**: P4/mbm, No. 127
**Mass density**: 10.22 g/cm3

Unit cell a=10.086 b=10.086 c=3.662 alpha=90.00 beta=90.00 gamma=90.00
Element x y z (fractional)
Pr 0.177 0.323 0.000
Pr 0.323 0.823 0.000
Pr 0.677 0.177 0.000
Pr 0.823 0.677 0.000
Tl 0.000 0.000 0.000
Tl 0.500 0.500 0.000
Ge 0.121 0.621 0.000
Ge 0.379 0.121 0.000
Ge 0.621 0.879 0.000
Ge 0.879 0.379 0.000
Rh 0.000 0.500 0.500
Rh 0.068 0.782 0.500
Rh 0.218 0.068 0.500
Rh 0.282 0.568 0.500
Rh 0.432 0.282 0.500
Rh 0.500 0.000 0.500
Rh 0.568 0.718 0.500
Rh 0.718 0.432 0.500
Rh 0.782 0.932 0.500
Rh 0.932 0.218 0.500


No. 2
A relaxed Pr2YGe3Rh4 crystal, computed with PBE.

## Properties
**Formation energy from the elements**: -0.87 eV/atom
**E_tot**: -67.961 eV per cell
**Space-group type**: P-4m2, No. 115
**Mass density**: 8.34 g/cm3

Unit cell a=4.208 b=4.208 c=11.247 alpha=90.00 beta=90.00 gamma=90.00
Element x y z (fractional)
Pr 0.000 0.500 0.230
Pr 0.500 0.000 0.770
Y 0.000 0.000 0.500
Ge 0.000 0.500 0.880
Ge 0.500 0.000 0.120
Ge 0.500 0.500 0.500
Rh 0.000 0.000 0.000
Rh 0.000 0.500 0.659
Rh 0.500 0.000 0.341
Rh 0.500 0.500 0.000


No. 3
A relaxed PrYGe2Rh5 crystal, computed with PBE.

## Properties
**Formation energy from the elements**: -0.67 eV/atom
**E_tot**: -63.289 eV per cell
**Space-group type**: P4/mmm, No. 123
**Mass density**: 9.17 g/cm3

Unit cell a=4.225 b=4.225 c=9.028 alpha=90.00 beta=90.00 gamma=90.00
Element x y z (fractional)
Pr 0.000 0.000 0.000
Y 0.000 0.000 0.500
Ge 0.500 0.500 0.360
Ge 0.500 0.500 0.640
Rh 0.000 0.500 0.234
Rh 0.000 0.500 0.766
Rh 0.500 0.000 0.234
Rh 0.500 0.000 0.766
Rh 0.500 0.500 0.000


No. 4
A relaxed PrZn2GeRh2 crystal, computed with PBE.

## Properties
**Formation energy from the elements**: -0.29 eV/atom
**E_tot**: -28.404 eV per cell
**Space-group type**: P4/mmm, No. 123
**Mass density**: 7.54 g/cm3

Unit cell a=4.590 b=4.590 c=5.749 alpha=90.00 beta=90.00 gamma=90.00
Element x y z (fractional)
Pr 0.000 0.000 0.000
Zn 0.500 0.500 0.239
Zn 0.500 0.500 0.761
Ge 0.000 0.000 0.500
Rh 0.000 0.500 0.500
Rh 0.500 0.000 0.500


No. 5
A relaxed PrGe4Ru crystal, computed with PBE.

## Properties
**Formation energy from the elements**: -0.34 eV/atom
**E_tot**: -69.076 eV per cell
**Space-group type**: C2/c, No. 15
**Mass density**: 7.15 g/cm3

Unit cell a=6.527 b=6.527 c=6.853 alpha=95.42 beta=95.42 gamma=58.42
Element x y z (fractional)
Pr 0.098 0.902 0.750
Pr 0.902 0.098 0.250
Ge 0.129 0.363 0.644
Ge 0.323 0.568 0.090
Ge 0.363 0.129 0.144
Ge 0.432 0.677 0.410
Ge 0.568 0.323 0.590
Ge 0.637 0.871 0.856
Ge 0.677 0.432 0.910
Ge 0.871 0.637 0.356
Ru 0.000 0.500 0.000
Ru 0.500 0.000 0.500


No. 6
A relaxed PrGe2Ru2 crystal, computed with PBE.

## Properties
**Formation energy from the elements**: -0.66 eV/atom
**E_tot**: -35.858 eV per cell
**Space-group type**: I4/mmm, No. 139
**Mass density**: 8.63 g/cm3

Unit cell a=5.908 b=5.908 c=5.908 alpha=137.24 beta=137.24 gamma=62.07
Element x y z (fractional)
Pr 0.000 0.000 0.000
Ge 0.366 0.366 0.000
Ge 0.634 0.634 0.000
Ru 0.250 0.750 0.500
Ru 0.750 0.250 0.500